1.
DFT (PBE) results for a relaxed Cs4Tl4Ga crystal.

Structure (extended XYZ):
```
9
Lattice="-3.4108 3.4108 9.8596 3.4108 -3.4108 9.8596 3.4108 3.4108 -9.8596" Properties=species:S:1:pos:R:3 pbc="T T T"
Cs 1.7642 1.7642 -3.0651
Cs 1.6466 -1.6466 12.9246
Cs 1.6466 1.6466 6.7945
Cs -1.6466 1.6466 12.9246
Tl 1.9306 -1.9306 8.9576
Tl 1.4802 1.4802 0.9019
Tl -1.9306 1.9306 8.9576
Tl 1.9306 1.9306 10.7615
Ga 0.0000 0.0000 9.8596
```

V, A^3/atom: 50.98
Spin magnetization, μB/f.u.: 0.00
DFT formation energy, eV per atom: -0.0018

=====

2.
DFT (PBE) results for a relaxed Dy2Zr2Ni15 crystal.

Structure (extended XYZ):
```
19
Lattice="4.2225 2.4379 4.1859 -4.2225 2.4379 4.1859 0.0000 -4.8757 4.1859" Properties=species:S:1:pos:R:3 pbc="T T T"
Dy 0.0000 0.0000 1.8035
Dy 0.0000 0.0000 10.7541
Zr 0.0000 0.0000 4.9126
Zr 0.0000 0.0000 7.6451
Ni -2.1112 -1.2189 4.1859
Ni 0.0000 -2.4820 4.0494
Ni -2.1495 1.2410 4.0494
Ni -1.2815 -2.2196 6.2789
Ni -2.5630 0.0000 6.2789
Ni -2.1495 -1.2410 8.5083
Ni -2.1112 1.2189 8.3718
Ni 1.2815 -2.2196 6.2788
Ni 0.0000 2.4379 4.1859
Ni -1.2815 2.2196 6.2788
Ni 2.1495 1.2410 4.0494
Ni 2.5630 0.0000 6.2788
Ni 1.2815 2.2196 6.2788
Ni 2.1495 -1.2410 8.5083
Ni 0.0000 2.4820 8.5083
```

V, A^3/atom: 13.61
Spin magnetization, μB/f.u.: 1.19
DFT formation energy, eV per atom: -0.2806

=====

3.
DFT (PBE) results for a relaxed Nd3HgPb3 crystal.

Structure (extended XYZ):
```
14
Lattice="9.0628 0.0000 0.0000 -4.5314 7.8486 0.0000 0.0000 0.0000 5.9350" Properties=species:S:1:pos:R:3 pbc="T T T"
Nd -1.2707 3.5233 1.4838
Nd -0.8448 7.1875 1.4838
Nd 2.4159 2.8621 4.4513
Nd 2.1155 4.9865 1.4838
Nd 5.3762 0.6612 4.4513
Nd 5.8021 4.3254 4.4513
Hg 0.0000 5.2324 4.4513
Hg 4.5314 2.6162 1.4838
Pb -0.6623 1.9832 4.4513
Pb -2.4827 7.4306 4.4513
Pb 1.3864 1.5652 1.4838
Pb 3.1450 6.2834 4.4513
Pb 7.0141 0.4181 1.4838
Pb 5.1937 5.8654 1.4838
```

V, A^3/atom: 30.15
Polymorph energy (0 for the lowest one), meV per atom: 178
Spin magnetization, μB/f.u.: 0.00
DFT formation energy, eV per atom: -0.3133

=====

4.
DFT (PBE) results for a relaxed Th3FeSb crystal.

Structure (extended XYZ):
```
10
Lattice="6.9091 0.0000 0.0000 -3.4306 5.9994 0.0000 -0.0041 -3.9766 7.6413" Properties=species:S:1:pos:R:3 pbc="T T T"
Th -0.6218 0.9026 1.4951
Th 0.6440 -1.0752 6.1398
Th -0.4391 5.0049 1.4930
Th 3.9135 -2.9822 6.1483
Th 2.8304 3.0980 1.5016
Th 4.0962 1.1202 6.1462
Fe 1.7296 1.0019 0.1855
Fe 1.7448 1.0209 7.4558
Sb -1.7045 3.0079 3.7253
Sb 5.1789 -0.9851 3.9160
```

V, A^3/atom: 31.67
Uncorrected formation energy, eV per atom: -0.203
Polymorph energy (0 for the lowest one), meV per atom: 249
Spin magnetization, μB/f.u.: 0.00

=====

5.
DFT (PBE) results for a relaxed CaTl2Rh3F12 crystal.

Structure (extended XYZ):
```
18
Lattice="3.8468 2.2209 6.1654 -3.8468 2.2209 6.1654 0.0000 -4.4419 6.1654" Properties=species:S:1:pos:R:3 pbc="T T T"
Ca 0.0000 0.0000 0.0000
Tl 0.0000 0.0000 6.5419
Tl 0.0000 0.0000 11.9543
Rh -3.8468 0.0000 9.2481
Rh -1.9234 1.1105 3.0827
Rh 1.9234 1.1105 3.0827
F -2.3167 -1.3375 8.9256
F 0.0000 -2.4418 5.0948
F -2.1147 1.2209 5.0948
F 0.0000 -2.6751 9.5706
F -2.3167 1.3375 9.5706
F -2.1147 -1.2209 13.4014
F 2.1147 1.2209 5.0948
F 2.3167 -1.3375 8.9256
F 0.0000 2.6751 8.9256
F 2.1147 -1.2209 13.4014
F 0.0000 2.4418 13.4014
F 2.3167 1.3375 9.5706
```

V, A^3/atom: 17.56
Uncorrected formation energy, eV per atom: -1.939
Spin magnetization, μB/f.u.: 1.05

=====

6.
DFT (PBE) results for a relaxed LaHo4Al4 crystal.

Structure (extended XYZ):
```
9
Lattice="-4.8076 4.8076 2.6337 4.8076 -4.8076 2.6337 4.8076 4.8076 -2.6337" Properties=species:S:1:pos:R:3 pbc="T T T"
La 0.0000 0.0000 0.0000
Ho 6.2356 0.9679 0.0000
Ho 0.9679 3.3797 0.0000
Ho 3.8397 1.4279 2.6337
Ho -1.4279 3.8397 2.6337
Al 4.0295 3.0494 0.0000
Al 1.7583 -0.7782 2.6337
Al 3.0494 5.5858 0.0000
Al 0.7782 1.7583 2.6337
```

V, A^3/atom: 27.05
Spin magnetization, μB/f.u.: 0.00
DFT formation energy, eV per atom: -0.1642